Compound: RbThTlF6
Source: Alexandria
Functional: GGA-PBE
Structure: relaxed

Properties
Crystal system: tetragonal
Formation energy from raw total energies in eV/atom: -3.34

Cell lengths 5.982, 5.982, 12.513 Å; angles 90.00, 90.00, 90.00 degrees
Space group P4_2nm (No. 102)
One atom of each set of equivalent atoms:
Rb: 0.000 0.000 0.000
Th: 0.000 0.000 0.666
Tl: 0.000 0.000 0.328
F: 0.177 0.177 0.533
F: 0.177 0.177 0.800
F: 0.233 0.233 0.167